No. 1
Compound: ZrP2Pd
Source: Alexandria via LeMat-Bulk
Functional: PBE
Structure: relaxed

The structure in POSCAR format:
```
ZrP2Pd
1.0
5.837 0.000 0.000
0.000 5.837 0.000
2.918 2.918 5.199
P Zr Pd
4 2 2
direct
0.375 0.347 0.750
0.097 0.625 0.250
0.875 0.903 0.750
0.653 0.125 0.250
0.500 0.500 0.000
0.250 0.750 0.500
0.000 0.000 0.000
0.750 0.250 0.500
```

Values from the calculation:
* total moment: 0.00 μB per atom
* space-group type: I-42d (122)
* E_form: -0.345 eV per atom

No. 2
Compound: ZrP2Pd
Source: Alexandria via LeMat-Bulk
Functional: PBE
Structure: relaxed

The structure in POSCAR format:
```
ZrP2Pd
1.0
0.000 3.174 3.174
3.174 0.000 3.174
3.174 3.174 0.000
Zr P Pd
1 2 1
direct
0.000 0.000 0.000
0.750 0.750 0.750
0.250 0.250 0.250
0.500 0.500 0.500
```

Values from the calculation:
* total moment: 0.00 μB per atom
* space-group type: Fm-3m (225)
* E_form: -0.521 eV per atom

No. 3
Compound: Zr2PPd
Source: Alexandria via LeMat-Bulk
Functional: PBE
Structure: relaxed

The structure in POSCAR format:
```
Zr2PPd
1.0
-1.601 3.639 5.980
-6.956 -1.516 -0.940
-3.948 -1.463 4.145
P Zr Pd
2 4 2
direct
0.250 0.750 0.500
0.500 0.500 0.000
0.139 0.625 0.250
0.875 0.861 0.750
0.375 0.389 0.750
0.611 0.125 0.250
0.750 0.250 0.500
0.000 0.000 0.000
```

Values from the calculation:
* total moment: 0.00 μB per atom
* space-group type: I-42d (122)
* E_form: -0.550 eV per atom

No. 4
Compound: ZrP2Pd2
Source: Alexandria via LeMat-Bulk
Functional: PBE
Structure: relaxed

The structure in POSCAR format:
```
ZrP2Pd2
1.0
-3.986 4.693 -3.682
-5.793 -1.990 3.735
0.612 2.172 2.106
Pd Zr P
4 2 4
direct
0.644 0.856 0.500
0.144 0.644 0.500
0.856 0.356 0.500
0.356 0.144 0.500
0.000 0.000 0.000
0.500 0.500 0.000
0.340 0.840 0.000
0.660 0.160 0.000
0.840 0.660 0.000
0.160 0.340 0.000
```

Values from the calculation:
* total moment: 0.00 μB per atom
* space-group type: P4/mbm (127)
* E_form: -0.526 eV per atom

No. 5
Compound: Zr2P2Pd
Source: Alexandria via LeMat-Bulk
Functional: PBE
Structure: relaxed

The structure in POSCAR format:
```
Zr2P2Pd
1.0
6.911 0.000 0.000
0.000 6.911 0.000
0.000 0.000 3.552
Pd P Zr
2 4 4
direct
0.500 0.500 0.000
0.000 0.000 0.000
0.354 0.854 0.000
0.854 0.646 0.000
0.646 0.146 0.000
0.146 0.354 0.000
0.161 0.661 0.500
0.339 0.161 0.500
0.661 0.839 0.500
0.839 0.339 0.500
```

Values from the calculation:
* total moment: 0.00 μB per atom
* space-group type: P4/mbm (127)
* E_form: -1.051 eV per atom

No. 6
Compound: ZrP3Pd
Source: Alexandria via LeMat-Bulk
Functional: PBE
Structure: relaxed

The structure in POSCAR format:
```
ZrP3Pd
1.0
4.617 0.000 0.000
0.000 4.617 0.000
0.000 0.000 4.617
Zr Pd P
1 1 3
direct
0.500 0.500 0.500
0.000 0.000 0.000
0.000 0.000 0.500
0.500 0.000 0.000
0.000 0.500 0.000
```

Values from the calculation:
* total moment: 0.00 μB per atom
* space-group type: Pm-3m (221)
* E_form: 0.407 eV per atom

No. 7
Compound: ZrPPd3
Source: Alexandria via LeMat-Bulk
Functional: PBE
Structure: relaxed

The structure in POSCAR format:
```
ZrPPd3
1.0
-3.070 -2.307 2.352
2.503 0.458 3.716
-2.143 3.841 0.970
Pd P Zr
3 1 1
direct
0.000 0.500 0.000
0.500 0.000 0.000
0.000 0.000 0.500
0.000 0.000 0.000
0.500 0.500 0.500
```

Values from the calculation:
* total moment: 0.00 μB per atom
* space-group type: Pm-3m (221)
* E_form: -0.272 eV per atom

No. 8
Compound: ZrP2Pd7
Source: Alexandria via LeMat-Bulk
Functional: PBE
Structure: relaxed

The structure in POSCAR format:
```
ZrP2Pd7
1.0
-2.033 -2.768 2.140
0.366 -2.630 -3.054
9.195 -0.523 4.232
P Pd Zr
2 7 1
direct
0.676 0.676 0.353
0.324 0.324 0.647
0.750 0.250 0.500
0.500 0.500 0.000
0.250 0.750 0.500
0.896 0.396 0.791
0.104 0.604 0.209
0.396 0.896 0.791
0.604 0.104 0.209
0.000 0.000 0.000
```

Values from the calculation:
* total moment: 0.00 μB per atom
* space-group type: I4/mmm (139)
* E_form: -0.607 eV per atom

> Number 7 is which compound?

ZrPPd3

> What is the E_form in the fifth record?

-1.051 eV per atom

> Look up the E_form of the seventh one.

-0.272 eV per atom

> Number 8 is which compound?

ZrP2Pd7